Entry 1:
## Zr3AgH (PBE)

Data for a relaxed structure of Zr3AgH.

The space group is Pm-3m (No. 221) and the conventional cell measures 5.194, 5.194 and 5.194 Å, with angles of 90.00, 90.00 and 90.00 degrees. The inequivalent atoms are Zr at (0.000, 0.000, 0.500), Ag at (0.000, 0.000, 0.000) and H at (0.500, 0.500, 0.500).


Entry 2:
## Zr2AgH (PBE)

Data for a relaxed structure of Zr2AgH.

The space group is R-3m (No. 166, hexagonal axes) and the conventional cell measures 3.0280, 3.0280 and 26.1128 Å, with angles of 90.00, 90.00 and 120.00 degrees. The inequivalent atoms are Zr at (0.0000, 0.0000, 0.1117), Ag at (0.0000, 0.0000, 0.0000) and H at (0.0000, 0.0000, 0.5000).


Entry 3:
## Zr3AgH3 (PBE)

Data for a relaxed structure of Zr3AgH3.

The space group is Pm-3n (No. 223) and the conventional cell measures 5.759, 5.759 and 5.759 Å, with angles of 90.00, 90.00 and 90.00 degrees. The inequivalent atoms are Zr at (0.000, 0.250, 0.500), Ag at (0.000, 0.000, 0.000) and H at (0.000, 0.500, 0.250).


Entry 4:
## ZrAg3H (PBE)

Data for a relaxed structure of ZrAg3H.

The space group is Pm-3m (No. 221) and the conventional cell measures 4.321, 4.321 and 4.321 Å, with angles of 90.00, 90.00 and 90.00 degrees. The inequivalent atoms are Zr at (0.000, 0.000, 0.000), Ag at (0.000, 0.500, 0.500) and H at (0.500, 0.500, 0.500).


Entry 5:
## ZrAg3H (PBE)

Data for a relaxed structure of ZrAg3H.

The space group is Pm-3m (No. 221) and the conventional cell measures 5.485, 5.485 and 5.485 Å, with angles of 90.00, 90.00 and 90.00 degrees. The inequivalent atoms are Zr at (0.000, 0.000, 0.000), Ag at (0.000, 0.000, 0.500) and H at (0.500, 0.500, 0.500).


Entry 6:
## Zr2Ag2H (PBE)

Data for a relaxed structure of Zr2Ag2H.

The space group is P4/mbm (No. 127) and the conventional cell measures 5.892, 5.892 and 5.134 Å, with angles of 90.00, 90.00 and 90.00 degrees. The inequivalent atoms are Zr at (0.163, 0.337, 0.000), Ag at (0.164, 0.664, 0.500) and H at (0.000, 0.000, 0.000).


Entry 7:
## Zr3AgH (PBE)

Data for a relaxed structure of Zr3AgH.

The space group is Pm-3m (No. 221) and the conventional cell measures 4.439, 4.439 and 4.439 Å, with angles of 90.00, 90.00 and 90.00 degrees. The inequivalent atoms are Zr at (0.000, 0.000, 0.500), Ag at (0.500, 0.500, 0.500) and H at (0.000, 0.000, 0.000).


Entry 8:
## Zr2AgH (PBE)

Data for a relaxed structure of Zr2AgH.

The space group is R3m (No. 160, hexagonal axes) and the conventional cell measures 3.1493, 3.1493 and 22.9364 Å, with angles of 90.00, 90.00 and 120.00 degrees. The inequivalent atoms are Zr at (0.0000, 0.0000, 0.0000), Zr at (0.0000, 0.0000, 0.2134), Ag at (0.0000, 0.0000, 0.4398) and H at (0.0000, 0.0000, 0.6043).


Entry 9:
## Zr2Ag2H (PBE)

Data for a relaxed structure of Zr2Ag2H.

The space group is P4/mbm (No. 127) and the conventional cell measures 8.224, 8.224 and 3.012 Å, with angles of 90.00, 90.00 and 90.00 degrees. The inequivalent atoms are Zr at (0.177, 0.323, 0.000), Ag at (0.120, 0.620, 0.500) and H at (0.000, 0.000, 0.500).


Entry 10:
## Zr6AgH (PBE)

Data for a relaxed structure of Zr6AgH.

The space group is P-1 (No. 2) and the conventional cell measures 5.455, 5.564 and 5.648 Å, with angles of 101.31, 107.19 and 96.28 degrees. The inequivalent atoms are Zr at (0.083, 0.256, 0.175), Zr at (0.256, 0.817, 0.417), Zr at (0.301, 0.391, 0.746), Ag at (0.500, 0.000, 0.000) and H at (0.500, 0.500, 0.500).


Entry 11:
## ZrAgH (PBE)

Data for a relaxed structure of ZrAgH.

The space group is P-3m1 (No. 164) and the conventional cell measures 3.1892, 3.1892 and 10.0872 Å, with angles of 90.00, 90.00 and 120.00 degrees. The inequivalent atoms are Zr at (0.3333, 0.6667, 0.3493), Ag at (0.3333, 0.6667, 0.8864) and H at (0.3333, 0.6667, 0.5556).


Entry 12:
## Zr2Ag2H (PBE)

Data for a relaxed structure of Zr2Ag2H.

The space group is I4/mmm (No. 139) and the conventional cell measures 3.972, 3.972 and 14.374 Å, with angles of 90.00, 90.00 and 90.00 degrees. The inequivalent atoms are Zr at (0.000, 0.500, 0.250), Ag at (0.000, 0.000, 0.095) and H at (0.000, 0.000, 0.500).


Entry 13:
## ZrAg2H (PBE)

Data for a relaxed structure of ZrAg2H.

The space group is Fm-3m (No. 225) and the conventional cell measures 6.526, 6.526 and 6.526 Å, with angles of 90.00, 90.00 and 90.00 degrees. The inequivalent atoms are Zr at (0.000, 0.000, 0.000), Ag at (0.250, 0.250, 0.250) and H at (0.000, 0.000, 0.500).


Entry 14:
## Zr2AgH (PBE)

Data for a relaxed structure of Zr2AgH.

The space group is I-42d (No. 122) and the conventional cell measures 5.317, 5.317 and 10.946 Å, with angles of 90.00, 90.00 and 90.00 degrees. The inequivalent atoms are Zr at (0.079, 0.250, 0.125), Ag at (0.000, 0.000, 0.500) and H at (0.000, 0.000, 0.000).


Entry 15:
## ZrAg2H (PBE)

Data for a relaxed structure of ZrAg2H.

The space group is I-42d (No. 122) and the conventional cell measures 5.803, 5.803 and 7.926 Å, with angles of 90.00, 90.00 and 90.00 degrees. The inequivalent atoms are Zr at (0.000, 0.000, 0.000), Ag at (0.070, 0.250, 0.625) and H at (0.000, 0.000, 0.500).


Entry 16:
## Hf5Ag (PBE)

Data for a relaxed structure of Hf5Ag.

The space group is Cmmm (No. 65) and the conventional cell measures 5.065, 15.765 and 3.245 Å, with angles of 90.00, 90.00 and 90.00 degrees. The inequivalent atoms are Hf at (0.000, 0.000, 0.000), Hf at (0.000, 0.182, 0.500), Hf at (0.000, 0.349, 0.000) and Ag at (0.000, 0.500, 0.500).

The formation energy is 0.5 eV/f.u.


Entry 17:
## HfAg6 (PBE)

Data for a relaxed structure of HfAg6.

The space group is Im-3m (No. 229) and the conventional cell measures 7.308, 7.308 and 7.308 Å, with angles of 90.00, 90.00 and 90.00 degrees. The inequivalent atoms are Hf at (0.000, 0.000, 0.000) and Ag at (0.000, 0.250, 0.500).

The formation energy is 8.0 eV/f.u.


Entry 18:
## Hf2Ag3 (PBE)

Data for a relaxed structure of Hf2Ag3.

The space group is R-3m (No. 166, hexagonal axes) and the conventional cell measures 3.1524, 3.1524 and 35.1415 Å, with angles of 90.00, 90.00 and 120.00 degrees. The inequivalent atoms are Hf at (0.0000, 0.0000, 0.2010), Ag at (0.0000, 0.0000, 0.0000) and Ag at (0.0000, 0.0000, 0.3981).

The formation energy is 0.2 eV/f.u.


Entry 19:
## Hf4Ag (PBE)

Data for a relaxed structure of Hf4Ag.

The space group is Pm-3m (No. 221) and the conventional cell measures 5.063, 5.063 and 5.063 Å, with angles of 90.00, 90.00 and 90.00 degrees. The inequivalent atoms are Hf at (0.000, 0.000, 0.000), Hf at (0.000, 0.500, 0.500) and Ag at (0.500, 0.500, 0.500).

The formation energy is 5.4 eV/f.u.


Entry 20:
## HfAg4 (PBE)

Data for a relaxed structure of HfAg4.

The space group is Pm-3m (No. 221) and the conventional cell measures 5.246, 5.246 and 5.246 Å, with angles of 90.00, 90.00 and 90.00 degrees. The inequivalent atoms are Hf at (0.000, 0.000, 0.000), Ag at (0.000, 0.000, 0.500) and Ag at (0.500, 0.500, 0.500).

The formation energy is 6.1 eV/f.u.


no.,theoretical density (kg/m3),Fermi-level density of states (states/eV per atom),electronic total energy (eV/atom)
1,4534,1.5133,-4.771
2,6999,0.9413,-5.713
3,6685,0.4545,-5.821
4,8561,1.1004,-3.687
5,4185,0.8206,-2.496
6,7439,0.6872,-5.168
7,7261,0.9957,-6.513
8,7367,1.1949,-5.905
9,6509,0.7493,-4.586
10,6897,0.9704,-7.197
11,7479,0.5210,-5.093
12,5845,0.7777,-4.329
13,7360,1.1138,-3.712
14,6253,0.6794,-5.542
15,7663,0.7038,-3.994
16,12820,1.3806,-8.686
17,7027,0.8521,-2.720
18,11211,0.5346,-5.653
19,10517,1.7484,-7.460
20,7016,0.7039,-3.047